Record 1
# Cu29Te5 PBE-GGA optimized geometry
data_Cu29Te5
_symmetry_space_group_name_H-M 'P -1'
_symmetry_Int_Tables_number 2
_cell_length_a 4.368
_cell_length_b 13.671
_cell_length_c 17.380
_cell_angle_alpha 90.63
_cell_angle_beta 90.87
_cell_angle_gamma 90.83
loop_
_symmetry_equiv_pos_as_xyz
'x,y,z'
'-x,-y,-z'
loop_
_atom_site_label
_atom_site_type_symbol
_atom_site_fract_x
_atom_site_fract_y
_atom_site_fract_z
Cu1 Cu 0.073 0.442 0.283
Cu2 Cu 0.079 0.736 0.693
Cu3 Cu 0.079 0.875 0.418
Cu4 Cu 0.080 0.373 0.421
Cu5 Cu 0.081 0.946 0.282
Cu6 Cu 0.084 0.805 0.556
Cu7 Cu 0.089 0.303 0.559
Cu8 Cu 0.095 0.235 0.697
Cu9 Cu 0.237 0.621 0.260
Cu10 Cu 0.243 0.553 0.397
Cu11 Cu 0.244 0.841 0.816
Cu12 Cu 0.248 0.053 0.396
Cu13 Cu 0.251 0.123 0.257
Cu14 Cu 0.251 0.982 0.534
Cu15 Cu 0.252 0.482 0.533
Cu16 Cu 0.252 0.911 0.673
Cu17 Cu 0.259 0.412 0.671
Cu18 Cu 0.271 0.348 0.816
Cu19 Cu 0.281 0.236 0.113
Cu20 Cu 0.401 0.800 0.235
Cu21 Cu 0.407 0.731 0.373
Cu22 Cu 0.413 0.017 0.790
Cu23 Cu 0.415 0.662 0.511
Cu24 Cu 0.416 0.230 0.375
Cu25 Cu 0.418 0.160 0.513
Cu26 Cu 0.421 0.089 0.650
Cu27 Cu 0.421 0.590 0.647
Cu28 Cu 0.422 0.302 0.242
Cu29 Cu 0.422 0.520 0.785
Te1 Te 0.114 0.166 0.849
Te2 Te 0.192 0.055 0.110
Te3 Te 0.194 0.656 0.873
Te4 Te 0.202 0.565 0.115
Te5 Te 0.498 0.273 0.977
# Crystal system: triclinic
# Polymorph energy (0 for the lowest one) in meV per atom: 1



Record 2
# Cu7Te4 PBE-GGA optimized geometry
data_Cu7Te4
_symmetry_space_group_name_H-M 'P -3 m 1'
_symmetry_Int_Tables_number 164
_symmetry_space_group_name_Hall '-P 3 2"'
_cell_length_a 8.3190
_cell_length_b 8.3190
_cell_length_c 41.0152
_cell_angle_alpha 90.00
_cell_angle_beta 90.00
_cell_angle_gamma 120.00
loop_
_atom_site_label
_atom_site_type_symbol
_atom_site_fract_x
_atom_site_fract_y
_atom_site_fract_z
Cu1 Cu 0.0101 0.5050 0.2915
Cu2 Cu 0.0280 0.5140 0.6461
Cu3 Cu 0.0300 0.5150 0.4694
Cu4 Cu 0.1675 0.3349 0.6908
Cu5 Cu 0.1722 0.3445 0.5128
Cu6 Cu 0.1733 0.3466 0.3350
Cu7 Cu 0.3333 0.6667 0.2734
Cu8 Cu 0.3333 0.6667 0.4355
Cu9 Cu 0.3333 0.6667 0.6124
Te1 Te 0.1502 0.3005 0.6268
Te2 Te 0.1503 0.3006 0.4489
Te3 Te 0.1516 0.3031 0.2706
Te4 Te 0.3333 0.6667 0.3695
Te5 Te 0.3333 0.6667 0.5468
Te6 Te 0.3333 0.6667 0.7266
# Crystal system: trigonal
# Polymorph energy (0 for the lowest one) in meV per atom: 5



Record 3
# Cu7Te4 PBE-GGA optimized geometry
data_Cu7Te4
_symmetry_space_group_name_H-M 'P 1 2 1'
_symmetry_Int_Tables_number 3
_cell_length_a 6.754
_cell_length_b 11.573
_cell_length_c 12.563
_cell_angle_alpha 90.00
_cell_angle_beta 90.24
_cell_angle_gamma 90.00
loop_
_symmetry_equiv_pos_as_xyz
'x,y,z'
'-x,y,-z'
loop_
_atom_site_label
_atom_site_type_symbol
_atom_site_fract_x
_atom_site_fract_y
_atom_site_fract_z
Cu1 Cu 0.065 0.000 0.394
Cu2 Cu 0.212 0.971 0.736
Cu3 Cu 0.340 0.946 0.555
Cu4 Cu 0.400 0.125 0.415
Cu5 Cu 0.403 0.161 0.763
Cu6 Cu 0.410 0.976 0.270
Cu7 Cu 0.413 0.077 0.086
Te1 Te 0.202 0.065 0.917
Te2 Te 0.205 0.163 0.590
Te3 Te 0.216 0.175 0.235
Te4 Te 0.285 0.821 0.386
# Crystal system: monoclinic
# Polymorph energy (0 for the lowest one) in meV per atom: 193



Record 4
# Cu7Te4 PBE-GGA optimized geometry
data_Cu7Te4
_symmetry_space_group_name_H-M 'P 3 m 1'
_symmetry_Int_Tables_number 156
_cell_length_a 7.8283
_cell_length_b 7.8283
_cell_length_c 7.6360
_cell_angle_alpha 90.00
_cell_angle_beta 90.00
_cell_angle_gamma 120.00
loop_
_symmetry_equiv_pos_as_xyz
'x,y,z'
'-y,x-y,z'
'-x+y,-x,z'
'-y,-x,z'
'-x+y,y,z'
'x,x-y,z'
loop_
_atom_site_label
_atom_site_type_symbol
_atom_site_fract_x
_atom_site_fract_y
_atom_site_fract_z
Cu1 Cu 0.0000 0.0000 0.0000
Cu2 Cu 0.0574 0.5287 0.2873
Cu3 Cu 0.2621 0.1311 0.2420
Cu4 Cu 0.2717 0.1358 0.7767
Cu5 Cu 0.3333 0.6667 0.7661
Cu6 Cu 0.5207 0.0414 0.6430
Te1 Te 0.1575 0.3149 0.5249
Te2 Te 0.1855 0.3711 0.0326
Te3 Te 0.6667 0.3333 0.3481
Te4 Te 0.6667 0.3333 0.8706
# Crystal system: trigonal
# Polymorph energy (0 for the lowest one) in meV per atom: 160



Q: The lowest polymorph energy (0 for the lowest one) belongs to which entry?
A: Cu29Te5



Please write out number 3 again, unchanged.
# Cu7Te4 PBE-GGA optimized geometry
data_Cu7Te4
_symmetry_space_group_name_H-M 'P 1 2 1'
_symmetry_Int_Tables_number 3
_cell_length_a 6.754
_cell_length_b 11.573
_cell_length_c 12.563
_cell_angle_alpha 90.00
_cell_angle_beta 90.24
_cell_angle_gamma 90.00
loop_
_symmetry_equiv_pos_as_xyz
'x,y,z'
'-x,y,-z'
loop_
_atom_site_label
_atom_site_type_symbol
_atom_site_fract_x
_atom_site_fract_y
_atom_site_fract_z
Cu1 Cu 0.065 0.000 0.394
Cu2 Cu 0.212 0.971 0.736
Cu3 Cu 0.340 0.946 0.555
Cu4 Cu 0.400 0.125 0.415
Cu5 Cu 0.403 0.161 0.763
Cu6 Cu 0.410 0.976 0.270
Cu7 Cu 0.413 0.077 0.086
Te1 Te 0.202 0.065 0.917
Te2 Te 0.205 0.163 0.590
Te3 Te 0.216 0.175 0.235
Te4 Te 0.285 0.821 0.386
# Crystal system: monoclinic
# Polymorph energy (0 for the lowest one) in meV per atom: 193